Entry 1:
In5Ga2Pb2: relaxed, GGA-PBE.

```
data_In5Ga2Pb2
_chemical_formula_sum 'In5 Ga2 Pb2'
_cell_length_a 5.494
_cell_length_b 8.174
_cell_length_c 7.838
_cell_angle_alpha 133.65
_cell_angle_beta 88.40
_cell_angle_gamma 104.44
_space_group_name_H-M_alt 'P 1'
_space_group_IT_number 1
loop_
_space_group_symop_operation_xyz
'x,y,z'
loop_
_atom_site_label
_atom_site_type_symbol
_atom_site_fract_x
_atom_site_fract_y
_atom_site_fract_z
_atom_site_occupancy
In1 In 0.482 0.986 0.203 1
In2 In 0.518 0.014 0.797 1
In3 In 0.692 0.394 0.774 1
In4 In 0.308 0.606 0.226 1
In5 In 0.000 0.000 0.000 1
Ga1 Ga 0.082 0.157 0.734 1
Ga2 Ga 0.918 0.843 0.266 1
Pb1 Pb 0.767 0.534 0.399 1
Pb2 Pb 0.233 0.466 0.601 1
```

Calculated values
DOS(E_F): 0.29 states/eV/atom
Volume: 241.4 Å³ per cell
Formation enthalpy at 0 K: 35 kJ/mol of formula units
Theoretical density: 7.760 g cm⁻³

---

Entry 2:
InGa2Pb2: relaxed, GGA-PBE.

```
data_InGa2Pb2
_chemical_formula_sum 'In1 Ga2 Pb2'
_cell_length_a 4.959
_cell_length_b 4.959
_cell_length_c 6.758
_cell_angle_alpha 68.47
_cell_angle_beta 68.47
_cell_angle_gamma 90.00
_space_group_name_H-M_alt 'P 1'
_space_group_IT_number 1
loop_
_space_group_symop_operation_xyz
'x,y,z'
loop_
_atom_site_label
_atom_site_type_symbol
_atom_site_fract_x
_atom_site_fract_y
_atom_site_fract_z
_atom_site_occupancy
Pb1 Pb 0.750 0.250 0.500 1
Pb2 Pb 0.250 0.750 0.500 1
Ga1 Ga 0.393 0.393 0.214 1
Ga2 Ga 0.607 0.607 0.786 1
In1 In 0.000 0.000 0.000 1
```

Calculated values
DOS(E_F): 0.63 states/eV/atom
Volume: 142.1 Å³ per cell
Formation enthalpy at 0 K: 64 kJ/mol of formula units
Theoretical density: 7.816 g cm⁻³
E above lowest polymorph: 69.3 meV per atom